PBE ErTmFe2Sn, optimized geometry; total DFT energy (no corrections) = -31.19 eV/cell
1.0
-1.217 3.500 -0.413
-0.297 0.741 7.152
3.275 1.863 6.131
Er Fe Sn Tm
1 2 1 1
Cartesian
1.282 3.404 8.229
0.606 0.530 2.703
2.373 2.076 10.588
2.977 2.603 13.278
0.477 2.700 4.637

---

PBE DyTmTe6, optimized geometry; total DFT energy (no corrections) = -35.04 eV/cell
1.0
-1.831 3.425 1.901
11.948 4.282 3.797
11.675 6.262 -0.035
Dy Te Tm
1 6 1
Cartesian
14.947 8.793 3.477
0.871 2.510 1.235
4.906 2.190 0.781
9.092 6.179 2.544
13.599 6.070 2.166
17.831 10.080 3.936
21.819 9.739 3.475
7.763 3.465 1.236

---

PBE PrTeMo, optimized geometry; energy above the lowest structure with this stoichiometry = 0.583 eV/atom
1.0
3.652 -3.213 1.861
-0.608 -5.156 -0.420
2.996 -2.717 -3.282
Mo Pr Te
1 1 1
Cartesian
1.510 -2.771 -0.460
0.000 0.000 0.000
4.530 -8.314 -1.380

---

PBE NdHf2, optimized geometry; energy above the lowest structure with this stoichiometry = 0.056 eV/atom
1.0
-3.869 -1.110 4.980
-3.705 -3.918 3.452
8.892 -0.157 1.238
Hf Nd
4 2
Cartesian
-1.144 -2.031 3.611
-2.253 -4.482 7.997
3.571 -0.703 1.673
2.462 -3.154 6.059
0.456 -0.693 1.322
0.862 -4.492 8.348

---

PBE Tm3Al2ZnNiAu2, optimized geometry; total DFT energy (no corrections) = -40.77 eV/cell
1.0
-1.882 -0.896 3.363
6.108 0.816 3.636
-4.335 5.616 -0.931
Al Au Ni Tm Zn
2 2 1 3 1
Cartesian
0.441 -0.257 2.506
-1.919 0.827 1.474
1.715 1.922 3.799
-1.840 3.556 2.245
0.022 0.080 0.034
0.720 2.612 1.099
3.480 4.176 3.060
-0.654 6.075 1.253
0.421 4.495 3.761

---

PBE HoTmGa4Ir2, optimized geometry; total DFT energy (no corrections) = -44.92 eV/cell
1.0
-4.056 -0.879 -0.966
-1.225 -1.571 6.574
0.777 5.209 1.389
Ga Ho Ir Tm
4 1 2 1
Cartesian
-2.615 0.561 1.066
-3.355 -0.389 5.041
-1.277 2.979 2.652
-1.759 2.362 5.236
-3.081 3.579 0.281
-0.519 1.976 0.375
-3.372 1.568 3.335
-0.812 -0.031 3.430

---

PBE Y2TaAl, optimized geometry; total DFT energy (no corrections) = -27.58 eV/cell
1.0
4.437 0.562 2.320
1.924 4.607 0.674
0.191 1.999 4.621
Al Ta Y
1 1 2
Cartesian
3.276 3.584 3.807
1.638 1.792 1.904
0.000 0.000 0.000
4.914 5.376 5.711

---

PBE Zr2CoCu, optimized geometry; total DFT energy (no corrections) = -57.87 eV/cell
1.0
5.317 0.000 0.000
0.000 4.047 0.000
-2.122 0.000 6.325
Co Cu Zr
2 2 4
Cartesian
1.312 3.035 1.338
1.883 1.012 4.987
2.899 1.012 1.841
0.296 3.035 4.485
4.035 3.035 0.392
0.280 1.012 2.669
2.915 3.035 3.656
-0.839 1.012 5.933

---

PBE Li2HfS3, optimized geometry; energy above the lowest structure with this stoichiometry = 0.079 eV/atom
1.0
-6.235 -3.422 3.476
2.085 -2.885 0.899
3.011 4.150 6.340
Hf Li S
2 4 6
Cartesian
-3.540 -2.076 5.297
2.400 -0.081 5.419
-1.653 -3.666 3.314
-0.055 -0.698 1.635
-1.085 -1.459 9.081
0.513 1.509 7.402
-3.968 -3.099 3.005
2.213 -0.981 2.965
-1.150 -2.669 5.346
0.010 0.512 5.370
-3.353 -1.176 7.751
2.829 0.942 7.711

---

PBE Ta4Nb2C3S3, optimized geometry; total DFT energy (no corrections) = -232.83 eV/cell
1.0
4.953 -2.858 0.000
4.953 2.858 0.000
-3.276 0.000 11.699
C Nb S Ta
6 4 6 8
Cartesian
4.097 -1.481 0.000
2.477 1.429 0.000
5.810 1.481 0.000
2.459 1.481 5.850
0.839 -1.429 5.850
4.173 -1.481 5.850
4.175 0.451 1.148
4.094 0.451 4.702
2.537 -0.451 6.998
2.456 -0.451 10.551
2.463 -0.486 2.915
4.134 2.406 2.925
5.806 -0.486 2.935
0.825 0.486 8.764
2.497 -2.406 8.774
4.168 0.486 8.785
7.387 0.449 1.095
0.824 0.529 1.096
7.445 0.529 4.753
0.882 0.449 4.755
5.749 -0.449 6.945
-0.814 -0.529 6.946
5.807 -0.529 10.603
-0.756 -0.449 10.604

---

PBE PuMgTc, optimized geometry; total DFT energy (no corrections) = -23.48 eV/cell
1.0
0.000 3.221 3.221
3.221 0.000 3.221
3.221 3.221 0.000
Mg Pu Tc
1 1 1
Cartesian
0.000 0.000 0.000
1.611 1.611 1.611
4.832 4.832 4.832

---

PBE NaSmIn, optimized geometry; energy above the lowest structure with this stoichiometry = 0.112 eV/atom
1.0
0.000 3.679 3.679
3.679 0.000 3.679
3.679 3.679 0.000
In Na Sm
1 1 1
Cartesian
1.839 1.839 1.839
5.518 5.518 5.518
0.000 0.000 0.000

---

PBE NiAs2Pd, optimized geometry; total DFT energy (no corrections) = -40.67 eV/cell
1.0
-0.885 2.366 3.148
-1.308 -3.220 2.052
7.085 -1.088 2.809
As Ni Pd
4 2 2
Cartesian
0.000 0.000 0.000
-1.097 -0.427 2.600
1.674 0.858 2.413
4.315 -2.373 2.996
0.752 -1.826 1.584
5.236 0.311 3.826
3.542 -0.544 1.405
2.446 -0.971 4.005

---

PBE SrCuTe3Pd, optimized geometry; total DFT energy (no corrections) = -47.45 eV/cell
1.0
2.184 -6.347 0.000
2.184 6.347 0.000
0.000 0.000 11.019
Cu Pd Sr Te
2 2 2 6
Cartesian
2.184 -0.560 2.755
2.184 0.560 8.264
0.000 0.000 0.000
0.000 0.000 5.509
2.184 3.428 2.755
2.184 -3.428 8.264
2.184 -1.746 0.337
2.184 -5.557 2.755
2.184 -1.746 5.173
2.184 1.746 5.846
2.184 5.557 8.264
2.184 1.746 10.682

---

PBE PuFeCo, optimized geometry; energy above the lowest structure with this stoichiometry = 0.157 eV/atom
1.0
2.058 -1.866 2.934
-0.843 0.784 3.873
-1.818 -2.798 2.278
Co Fe Pu
1 1 1
Cartesian
-0.453 -2.910 6.814
-0.151 -0.970 2.271
0.000 0.000 0.000

---

PBE Li6HoB3O9, optimized geometry; total DFT energy (no corrections) = -511.72 eV/cell
1.0
7.127 0.000 0.000
0.000 16.328 0.000
-1.701 0.000 6.352
B Ho Li O
12 4 24 36
Cartesian
1.506 1.984 0.006
3.898 5.952 1.026
0.111 10.053 1.197
6.165 1.889 1.979
2.379 14.116 2.150
4.770 10.148 3.170
0.656 6.179 3.182
3.047 2.212 4.202
-0.740 14.439 4.373
5.315 6.275 5.155
1.528 10.376 5.326
3.919 14.343 6.346
3.864 3.104 0.972
2.412 11.268 2.204
3.013 5.060 4.148
1.562 13.224 5.380
0.381 12.973 0.273
1.296 15.790 0.349
4.356 9.072 0.579
5.371 11.518 0.852
-0.006 7.670 1.066
3.783 16.235 1.135
2.494 8.071 2.041
6.282 15.834 2.110
0.905 3.354 2.324
1.920 0.908 2.597
4.980 7.626 2.827
5.895 4.809 2.903
-0.470 11.518 3.449
0.446 8.701 3.525
3.506 15.420 3.755
4.520 12.974 4.028
-0.856 0.493 4.242
2.932 8.256 4.311
1.643 0.092 5.217
5.431 8.657 5.286
0.055 4.810 5.500
1.069 7.256 5.773
4.130 0.538 6.003
5.045 3.354 6.079
3.475 11.007 0.189
2.628 1.207 0.285
1.603 3.325 0.374
6.222 9.465 0.478
6.744 14.873 0.555
2.244 13.294 1.043
3.930 7.304 1.110
0.185 11.415 1.456
5.132 1.112 1.472
1.144 9.276 1.704
6.092 3.251 1.720
2.346 15.468 2.066
4.032 5.130 2.133
-0.468 6.709 2.621
0.055 1.301 2.698
4.674 11.488 2.802
3.649 9.370 2.891
2.802 2.843 2.987
2.624 13.485 3.365
1.777 6.957 3.461
0.752 4.839 3.550
5.371 15.026 3.654
5.894 9.618 3.731
1.394 11.197 4.219
3.079 0.860 4.286
-0.666 13.076 4.632
4.282 7.051 4.648
0.294 15.215 4.880
5.241 4.913 4.896
1.496 9.024 5.242
3.182 3.034 5.309
-1.318 1.454 5.797
-0.796 6.863 5.874
3.823 13.003 5.978
2.798 15.121 6.067
1.951 5.321 6.163

---

PBE ReN2, optimized geometry; total DFT energy (no corrections) = -56.32 eV/cell
1.0
4.245 0.000 0.000
0.000 2.928 0.000
-2.014 0.000 4.527
N Re
4 2
Cartesian
0.991 0.885 0.870
2.247 0.885 1.394
-0.017 2.043 3.133
1.240 2.043 3.657
-0.504 2.370 1.132
-1.511 0.557 3.395

---

PBE HoGeB, optimized geometry; energy above the lowest structure with this stoichiometry = 0.748 eV/atom
1.0
0.000 3.078 3.078
3.078 0.000 3.078
3.078 3.078 0.000
B Ge Ho
1 1 1
Cartesian
1.539 1.539 1.539
0.000 0.000 0.000
4.617 4.617 4.617

---

PBE CuSi2Hg, optimized geometry; total DFT energy (no corrections) = -12.54 eV/cell
1.0
0.755 -1.713 4.179
2.445 2.390 3.047
-2.065 1.855 3.643
Cu Hg Si
1 1 2
Cartesian
0.851 1.899 8.152
0.567 1.266 5.435
0.000 0.000 0.000
0.284 0.633 2.717

---

PBE Pr2Y2CBr3F2, optimized geometry; total DFT energy (no corrections) = -59.68 eV/cell
1.0
-0.598 7.675 4.151
0.178 5.278 6.971
8.149 0.085 -2.169
Br C F Pr Y
3 1 2 2 2
Cartesian
1.107 10.678 8.769
3.864 6.519 4.477
6.622 2.361 0.185
-0.210 6.477 5.561
1.762 1.996 1.212
5.966 11.042 7.741
1.708 0.074 -0.407
6.021 12.964 9.360
0.251 8.321 7.001
7.478 4.718 1.952

---

The records above yield calculated volume values of 100.3 244.3 99.9 153.9 176.1 146.7 90.4 136.1 233.6 331.3 66.8 99.6 125.4 305.5 46.6 739.1 56.3 58.3 67.9 267.7 Å³ per cell, respectively.